The following is a DFT calculation (PBE-GGA) of PrNdCu2S4 after structural relaxation.

Properties
Size of the total moment (μB/f.u.): 0.0
Formation energy without anion corrections (eV per formula unit): -9.769

```
data_PrNdCu2S4
_symmetry_space_group_name_H-M 'I 2 2 2'
_symmetry_Int_Tables_number 23
_cell_length_a 6.662
_cell_length_b 6.703
_cell_length_c 7.565
_cell_angle_alpha 90.00
_cell_angle_beta 90.00
_cell_angle_gamma 90.00
loop_
_symmetry_equiv_pos_as_xyz
'x,y,z'
'-x,-y,z'
'x,-y,-z'
'-x,y,-z'
'x+1/2,y+1/2,z+1/2'
'-x+1/2,-y+1/2,z+1/2'
'x+1/2,-y+1/2,-z+1/2'
'-x+1/2,y+1/2,-z+1/2'
loop_
_atom_site_label
_atom_site_type_symbol
_atom_site_fract_x
_atom_site_fract_y
_atom_site_fract_z
_atom_site_occupancy
Pr1 Pr 0.000 0.000 0.000 1
Nd1 Nd 0.000 0.000 0.500 1
Cu1 Cu 0.000 0.500 0.176 1
S1 S 0.236 0.270 0.787 1
```

The following is a DFT calculation (PBE-GGA) of Nd2PuTh after structural relaxation.

Properties
Energy above the lowest structure with this stoichiometry (eV per atom): 0.004
Size of the total moment (μB/f.u.): 6.1
Energy relative to the elements (eV/atom): 0.1589

```
data_Nd2PuTh
_symmetry_space_group_name_H-M 'R 3 m'
_symmetry_Int_Tables_number 160
_symmetry_space_group_name_Hall 'R 3 -2"'
_cell_length_a 3.5812
_cell_length_b 3.5812
_cell_length_c 35.3904
_cell_angle_alpha 90.00
_cell_angle_beta 90.00
_cell_angle_gamma 120.00
loop_
_atom_site_label
_atom_site_type_symbol
_atom_site_fract_x
_atom_site_fract_y
_atom_site_fract_z
_atom_site_occupancy
Nd1 Nd 0.0000 0.0000 0.0000 1
Nd2 Nd 0.0000 0.0000 0.1692 1
Pu1 Pu 0.0000 0.0000 0.5848 1
Th1 Th 0.0000 0.0000 0.4180 1
```

The following is a DFT calculation (PBE-GGA) of SiSbOs2 after structural relaxation.

Properties
Energy above the lowest structure with this stoichiometry (eV per atom): 0.113
Size of the total moment (μB/f.u.): 0.0
Formation energy without anion corrections (eV per formula unit): 1.125

```
data_SiSbOs2
_symmetry_space_group_name_H-M 'I m m 2'
_symmetry_Int_Tables_number 44
_cell_length_a 3.097
_cell_length_b 3.806
_cell_length_c 11.142
_cell_angle_alpha 90.00
_cell_angle_beta 90.00
_cell_angle_gamma 90.00
loop_
_symmetry_equiv_pos_as_xyz
'x,y,z'
'-x,-y,z'
'-x,y,z'
'x,-y,z'
'x+1/2,y+1/2,z+1/2'
'-x+1/2,-y+1/2,z+1/2'
'-x+1/2,y+1/2,z+1/2'
'x+1/2,-y+1/2,z+1/2'
loop_
_atom_site_label
_atom_site_type_symbol
_atom_site_fract_x
_atom_site_fract_y
_atom_site_fract_z
_atom_site_occupancy
Si1 Si 0.000 0.000 0.000 1
Sb1 Sb 0.000 0.500 0.737 1
Os1 Os 0.000 0.000 0.558 1
Os2 Os 0.000 0.500 0.336 1
```

The following is a DFT calculation (PBE-GGA) of CsTeS2Br after structural relaxation.

Properties
Size of the total moment (μB/f.u.): 0.0
Formation energy without anion corrections (eV per formula unit): -2.230

```
data_CsTeS2Br
_symmetry_space_group_name_H-M 'P 4/m m m'
_symmetry_Int_Tables_number 123
_symmetry_space_group_name_Hall '-P 4 2'
_cell_length_a 5.211
_cell_length_b 5.211
_cell_length_c 5.885
_cell_angle_alpha 90.00
_cell_angle_beta 90.00
_cell_angle_gamma 90.00
loop_
_atom_site_label
_atom_site_type_symbol
_atom_site_fract_x
_atom_site_fract_y
_atom_site_fract_z
_atom_site_occupancy
Cs1 Cs 0.000 0.000 0.000 1
Te1 Te 0.500 0.500 0.500 1
S1 S 0.000 0.500 0.500 1
Br1 Br 0.500 0.500 0.000 1
```

The following is a DFT calculation (PBE-GGA) of Sr4N2Cl after structural relaxation.

Properties
Energy above the lowest structure with this stoichiometry (eV per atom): 0.182
Size of the total moment (μB/f.u.): 0.0
Formation energy without anion corrections (eV per formula unit): -6.082

```
data_Sr4N2Cl
_symmetry_space_group_name_H-M 'C m c m'
_symmetry_Int_Tables_number 63
_symmetry_space_group_name_Hall '-C 2c 2'
_cell_length_a 3.938
_cell_length_b 13.279
_cell_length_c 13.453
_cell_angle_alpha 90.00
_cell_angle_beta 90.00
_cell_angle_gamma 90.00
loop_
_atom_site_label
_atom_site_type_symbol
_atom_site_fract_x
_atom_site_fract_y
_atom_site_fract_z
_atom_site_occupancy
Sr1 Sr 0.000 0.000 0.000 1
Sr2 Sr 0.000 0.254 0.102 1
Sr3 Sr 0.000 0.428 0.750 1
N1 N 0.000 0.364 0.561 1
Cl1 Cl 0.000 0.119 0.750 1
```

The following is a DFT calculation (PBE-GGA) of Na2LiCdFe after structural relaxation.

Properties
Size of the total moment (μB/f.u.): 0.1
Energy relative to the elements (eV/atom): 0.7989

```
data_Na2LiCdFe
_symmetry_space_group_name_H-M 'P 4/m m m'
_symmetry_Int_Tables_number 123
_symmetry_space_group_name_Hall '-P 4 2'
_cell_length_a 5.361
_cell_length_b 5.361
_cell_length_c 4.998
_cell_angle_alpha 90.00
_cell_angle_beta 90.00
_cell_angle_gamma 90.00
loop_
_atom_site_label
_atom_site_type_symbol
_atom_site_fract_x
_atom_site_fract_y
_atom_site_fract_z
_atom_site_occupancy
Na1 Na 0.000 0.500 0.000 1
Li1 Li 0.000 0.000 0.500 1
Cd1 Cd 0.500 0.500 0.500 1
Fe1 Fe 0.500 0.500 0.000 1
```